Entry 1:
A plane-wave DFT calculation with PBEsol was carried out for a relaxed KAuC2S2N2 crystal.

POSCAR file:
```
KAuC2S2N2
1.0
5.836 0.000 0.000
2.918 6.918 -0.038
2.918 0.279 16.838
Au K C N S
4 4 8 8 8
direct
0.815 0.250 0.750 Au
0.185 0.750 0.250 Au
0.317 0.250 0.750 Au
0.683 0.750 0.250 Au
0.184 0.224 0.460 K
0.133 0.724 0.960 K
0.816 0.776 0.540 K
0.867 0.276 0.040 K
0.718 0.573 0.867 C
0.282 0.427 0.133 C
0.842 0.073 0.367 C
0.551 0.412 0.593 C
0.158 0.927 0.633 C
0.556 0.088 0.907 C
0.444 0.912 0.093 C
0.449 0.588 0.407 C
0.779 0.581 0.929 N
0.288 0.919 0.571 N
0.221 0.419 0.071 N
0.732 0.076 0.936 N
0.268 0.924 0.064 N
0.712 0.081 0.429 N
0.744 0.424 0.564 N
0.256 0.576 0.436 N
0.028 0.073 0.282 S
0.727 0.596 0.372 S
0.972 0.927 0.718 S
0.384 0.427 0.218 S
0.616 0.573 0.782 S
0.305 0.096 0.872 S
0.273 0.404 0.628 S
0.695 0.904 0.128 S
```

## Properties
* space-group type: No. 15
* energy relative to the elements, uncorrected: -59 meV per atom

---

Entry 2:
A plane-wave DFT calculation with PBEsol was carried out for a relaxed La2RhAuC crystal.

POSCAR file:
```
La2RhAuC
1.0
-3.297 -0.794 -3.563
-0.398 -5.029 1.490
-3.884 1.287 3.306
Au Rh La C
1 1 2 1
direct
0.500 0.000 0.000 Au
0.000 0.000 0.000 Rh
0.000 0.000 0.500 La
0.000 0.500 0.000 La
0.500 0.500 0.500 C
```

## Properties
* ΔH_f (0 K): 0.8261 eV per atom
* space-group type: No. 123